The following is a PBE calculation of a relaxed structure of K2LaCl, from Alexandria.

a b c (Å): 3.6798 3.6798 11.8484
angles (deg): 90.00 90.00 90.00
Fractional coordinates of all 4 atoms:
K 0.0000 0.0000 0.9216
K 0.5000 0.5000 0.2667
Cl 0.5000 0.5000 0.7402
La 0.0000 0.0000 0.5715

Properties
**Distance to the lowest polymorph of the same formula**: 129.3 meV per atom
**ΔE_f (raw)**: -0.5658 eV per atom
**Fermi-level density of states**: 2.51 states/eV/f.u.